{
  "formula": "EuZn2As2",
  "functional": "PBE",
  "state": "optimized geometry",
  "magnetic_moment_mub_per_cell": 6.96,
  "n_ef_per_ev_fu": 10.7,
  "e_tot_ev_per_cell": -25.5,
  "e_form_ev_per_atom": -0.678,
  "sg": "No. 164",
  "lattice_angstrom": [[4.2536, 0.0000, 0.0000], [-2.1268, 3.6838, 0.0000], [0.0000, 0.0000, 7.0734]],
  "species": ["Eu", "Zn", "Zn", "As", "As"],
  "frac_coords": [[0.0000, 0.0000, 0.0000], [0.3333, 0.6667, 0.6334], [0.6667, 0.3333, 0.3666], [0.3333, 0.6667, 0.2636], [0.6667, 0.3333, 0.7364]]
}



{
  "formula": "EuZrAs2",
  "functional": "PBE",
  "state": "optimized geometry",
  "magnetic_moment_mub_per_cell": 20.55,
  "n_ef_per_ev_fu": 9.0,
  "e_tot_ev_per_cell": -99.2,
  "e_form_ev_per_atom": -1.237,
  "sg": "No. 166",
  "lattice_angstrom": [[4.0077, 0.0000, 0.0000], [-2.0039, 3.4708, 0.0000], [0.0000, 0.0000, 20.5207]],
  "species": ["Eu", "Eu", "Eu", "Zr", "Zr", "Zr", "As", "As", "As", "As", "As", "As"],
  "frac_coords": [[0.0000, 0.0000, 0.0000], [0.3333, 0.6667, 0.6667], [0.6667, 0.3333, 0.3333], [0.0000, 0.0000, 0.5000], [0.3333, 0.6667, 0.1667], [0.6667, 0.3333, 0.8333], [0.0000, 0.0000, 0.2415], [0.0000, 0.0000, 0.7585], [0.3333, 0.6667, 0.4251], [0.3333, 0.6667, 0.9082], [0.6667, 0.3333, 0.0918], [0.6667, 0.3333, 0.5749]]
}



{
  "formula": "AsF",
  "functional": "PBE",
  "state": "optimized geometry",
  "magnetic_moment_mub_per_cell": 0.00,
  "n_ef_per_ev_fu": 0.4,
  "e_tot_ev_per_cell": -52.3,
  "relative_energy_mev_per_atom": 205,
  "sg": "No. 59",
  "formation_energy_uncorrected_ev_per_atom": -1.101,
  "lattice_angstrom": [[3.5746, 0.0000, 0.0000], [0.0000, 9.1485, 0.0000], [0.0000, 0.0000, 6.7197]],
  "species": ["As", "As", "As", "As", "As", "As", "F", "F", "F", "F", "F", "F"],
  "frac_coords": [[0.2500, 0.0829, 0.1288], [0.2500, 0.4171, 0.1288], [0.2500, 0.7500, 0.6887], [0.7500, 0.2500, 0.3113], [0.7500, 0.5829, 0.8712], [0.7500, 0.9171, 0.8712], [0.2500, 0.2500, 0.9076], [0.2500, 0.5500, 0.3313], [0.2500, 0.9500, 0.3313], [0.7500, 0.0500, 0.6687], [0.7500, 0.4500, 0.6687], [0.7500, 0.7500, 0.0924]]
}



{
  "formula": "AsF",
  "functional": "PBE",
  "state": "optimized geometry",
  "magnetic_moment_mub_per_cell": 0.00,
  "n_ef_per_ev_fu": 1.5,
  "e_tot_ev_per_cell": -61.8,
  "relative_energy_mev_per_atom": 705,
  "sg": "No. 217",
  "formation_energy_uncorrected_ev_per_atom": -0.601,
  "lattice_angstrom": [[7.6573, 0.0000, 0.0000], [0.0000, 7.6573, 0.0000], [0.0000, 0.0000, 7.6573]],
  "species": ["As", "As", "As", "As", "As", "As", "As", "As", "F", "F", "F", "F", "F", "F", "F", "F"],
  "frac_coords": [[0.1226, 0.1226, 0.8774], [0.1226, 0.8774, 0.1226], [0.3774, 0.3774, 0.3774], [0.3774, 0.6226, 0.6226], [0.6226, 0.3774, 0.6226], [0.6226, 0.6226, 0.3774], [0.8774, 0.1226, 0.1226], [0.8774, 0.8774, 0.8774], [0.2356, 0.2356, 0.2356], [0.2356, 0.7644, 0.7644], [0.2644, 0.2644, 0.7356], [0.2644, 0.7356, 0.2644], [0.7356, 0.2644, 0.2644], [0.7356, 0.7356, 0.7356], [0.7644, 0.2356, 0.7644], [0.7644, 0.7644, 0.2356]]
}



{
  "formula": "AsF",
  "functional": "PBE",
  "state": "optimized geometry",
  "magnetic_moment_mub_per_cell": 0.00,
  "e_tot_ev_per_cell": -53.3,
  "relative_energy_mev_per_atom": 122,
  "sg": "No. 176",
  "formation_energy_uncorrected_ev_per_atom": -1.184,
  "lattice_angstrom": [[10.6219, 0.0000, 0.0000], [-5.3109, 9.1988, 0.0000], [0.0000, 0.0000, 3.6008]],
  "species": ["As", "As", "As", "As", "As", "As", "F", "F", "F", "F", "F", "F"],
  "frac_coords": [[0.0108, 0.4211, 0.2500], [0.4103, 0.9892, 0.2500], [0.4211, 0.4103, 0.7500], [0.5789, 0.5897, 0.2500], [0.5897, 0.0108, 0.7500], [0.9892, 0.5789, 0.7500], [0.1837, 0.7070, 0.7500], [0.2930, 0.4768, 0.7500], [0.4768, 0.1837, 0.2500], [0.5232, 0.8163, 0.7500], [0.7070, 0.5232, 0.2500], [0.8163, 0.2930, 0.2500]]
}



{
  "formula": "AsF",
  "functional": "PBE",
  "state": "optimized geometry",
  "magnetic_moment_mub_per_cell": 0.00,
  "e_tot_ev_per_cell": -73.1,
  "relative_energy_mev_per_atom": 0,
  "sg": "No. 19",
  "formation_energy_uncorrected_ev_per_atom": -1.306,
  "lattice_angstrom": [[3.7672, 0.0000, 0.0000], [0.0000, 9.2195, 0.0000], [0.0000, 0.0000, 10.4416]],
  "species": ["As", "As", "As", "As", "As", "As", "As", "As", "F", "F", "F", "F", "F", "F", "F", "F"],
  "frac_coords": [[0.2289, 0.1849, 0.0570], [0.2329, 0.0318, 0.4065], [0.2671, 0.9682, 0.9065], [0.2711, 0.8151, 0.5570], [0.7289, 0.3151, 0.9430], [0.7329, 0.4682, 0.5935], [0.7671, 0.5318, 0.0935], [0.7711, 0.6849, 0.4430], [0.0913, 0.4576, 0.2046], [0.1028, 0.6082, 0.9880], [0.3972, 0.3918, 0.4880], [0.4087, 0.5424, 0.7046], [0.5913, 0.0424, 0.7954], [0.6028, 0.8918, 0.0120], [0.8972, 0.1082, 0.5120], [0.9087, 0.9576, 0.2954]]
}



{
  "formula": "AsF",
  "functional": "PBE",
  "state": "optimized geometry",
  "magnetic_moment_mub_per_cell": 0.00,
  "e_tot_ev_per_cell": -33.5,
  "relative_energy_mev_per_atom": 374,
  "sg": "No. 136",
  "formation_energy_uncorrected_ev_per_atom": -0.933,
  "lattice_angstrom": [[7.2909, 0.0000, 0.0000], [0.0000, 7.2909, 0.0000], [0.0000, 0.0000, 4.1322]],
  "species": ["As", "As", "As", "As", "F", "F", "F", "F"],
  "frac_coords": [[0.1129, 0.1129, 0.0000], [0.3871, 0.6129, 0.5000], [0.6129, 0.3871, 0.5000], [0.8871, 0.8871, 0.0000], [0.1281, 0.1281, 0.5000], [0.3718, 0.6282, 0.0000], [0.6282, 0.3718, 0.0000], [0.8718, 0.8718, 0.5000]]
}



{
  "formula": "AsF",
  "functional": "PBE",
  "state": "optimized geometry",
  "magnetic_moment_mub_per_cell": 0.00,
  "n_ef_per_ev_fu": 1.4,
  "e_tot_ev_per_cell": -38.3,
  "relative_energy_mev_per_atom": 1378,
  "sg": "No. 223",
  "formation_energy_uncorrected_ev_per_atom": 0.072,
  "lattice_angstrom": [[6.7152, 0.0000, 0.0000], [0.0000, 6.7152, 0.0000], [0.0000, 0.0000, 6.7152]],
  "species": ["As", "As", "As", "As", "As", "As", "F", "F", "F", "F", "F", "F"],
  "frac_coords": [[0.0000, 0.2500, 0.5000], [0.0000, 0.7500, 0.5000], [0.2500, 0.5000, 0.0000], [0.5000, 0.0000, 0.2500], [0.5000, 0.0000, 0.7500], [0.7500, 0.5000, 0.0000], [0.0000, 0.5000, 0.2500], [0.0000, 0.5000, 0.7500], [0.2500, 0.0000, 0.5000], [0.5000, 0.2500, 0.0000], [0.5000, 0.7500, 0.0000], [0.7500, 0.0000, 0.5000]]
}



{
  "formula": "AsF",
  "functional": "PBE",
  "state": "optimized geometry",
  "magnetic_moment_mub_per_cell": 0.00,
  "n_ef_per_ev_fu": 0.3,
  "e_tot_ev_per_cell": -67.6,
  "relative_energy_mev_per_atom": 340,
  "sg": "No. 87",
  "formation_energy_uncorrected_ev_per_atom": -0.966,
  "lattice_angstrom": [[9.3064, 0.0000, 0.0000], [0.0000, 9.3064, 0.0000], [0.0000, 0.0000, 3.6462]],
  "species": ["As", "As", "As", "As", "As", "As", "As", "As", "F", "F", "F", "F", "F", "F", "F", "F"],
  "frac_coords": [[0.0282, 0.6605, 0.0000], [0.1605, 0.4718, 0.5000], [0.3395, 0.0282, 0.0000], [0.4718, 0.8395, 0.5000], [0.5282, 0.1605, 0.5000], [0.6605, 0.9718, 0.0000], [0.8395, 0.5282, 0.5000], [0.9718, 0.3395, 0.0000], [0.1419, 0.8252, 0.0000], [0.1748, 0.1419, 0.0000], [0.3252, 0.3581, 0.5000], [0.3581, 0.6748, 0.5000], [0.6419, 0.3252, 0.5000], [0.6748, 0.6419, 0.5000], [0.8252, 0.8581, 0.0000], [0.8581, 0.1748, 0.0000]]
}



{
  "formula": "AsF",
  "functional": "PBE",
  "state": "optimized geometry",
  "magnetic_moment_mub_per_cell": 0.00,
  "n_ef_per_ev_fu": 0.5,
  "e_tot_ev_per_cell": -26.6,
  "relative_energy_mev_per_atom": 1240,
  "sg": "No. 216",
  "formation_energy_uncorrected_ev_per_atom": -0.067,
  "lattice_angstrom": [[5.3951, 0.0000, 0.0000], [0.0000, 5.3951, 0.0000], [0.0000, 0.0000, 5.3951]],
  "species": ["As", "As", "As", "As", "F", "F", "F", "F"],
  "frac_coords": [[0.0000, 0.0000, 0.0000], [0.0000, 0.5000, 0.5000], [0.5000, 0.0000, 0.5000], [0.5000, 0.5000, 0.0000], [0.2500, 0.2500, 0.2500], [0.2500, 0.7500, 0.7500], [0.7500, 0.2500, 0.7500], [0.7500, 0.7500, 0.2500]]
}



{
  "formula": "AsF",
  "functional": "PBE",
  "state": "optimized geometry",
  "magnetic_moment_mub_per_cell": 0.00,
  "e_tot_ev_per_cell": -70.6,
  "relative_energy_mev_per_atom": 156,
  "sg": "No. 128",
  "formation_energy_uncorrected_ev_per_atom": -1.151,
  "lattice_angstrom": [[10.8734, 0.0000, 0.0000], [0.0000, 10.8734, 0.0000], [0.0000, 0.0000, 3.6336]],
  "species": ["As", "As", "As", "As", "As", "As", "As", "As", "F", "F", "F", "F", "F", "F", "F", "F"],
  "frac_coords": [[0.0760, 0.3111, 0.0000], [0.1889, 0.4240, 0.5000], [0.3111, 0.9240, 0.0000], [0.4240, 0.8111, 0.5000], [0.5760, 0.1889, 0.5000], [0.6889, 0.0760, 0.0000], [0.8111, 0.5760, 0.5000], [0.9240, 0.6889, 0.0000], [0.1465, 0.1621, 0.0000], [0.1621, 0.8535, 0.0000], [0.3379, 0.3535, 0.5000], [0.3535, 0.6621, 0.5000], [0.6465, 0.3379, 0.5000], [0.6621, 0.6465, 0.5000], [0.8379, 0.1465, 0.0000], [0.8535, 0.8379, 0.0000]]
}



{
  "formula": "AsF",
  "functional": "PBE",
  "state": "optimized geometry",
  "magnetic_moment_mub_per_cell": 0.00,
  "n_ef_per_ev_fu": 0.1,
  "e_tot_ev_per_cell": -17.9,
  "relative_energy_mev_per_atom": 101,
  "sg": "No. 11",
  "formation_energy_uncorrected_ev_per_atom": -1.206,
  "lattice_angstrom": [[4.5900, 0.0000, 0.0000], [0.0000, 3.6962, 0.0000], [-1.8248, 0.0000, 4.6760]],
  "species": ["As", "As", "F", "F"],
  "frac_coords": [[0.0683, 0.2500, 0.1891], [0.9317, 0.7500, 0.8109], [0.4840, 0.2500, 0.2335], [0.5160, 0.7500, 0.7665]]
}



Question: Number 11 is which compound?
Answer: AsF



Copy entry 9 word for word.
{
  "formula": "AsF",
  "functional": "PBE",
  "state": "optimized geometry",
  "magnetic_moment_mub_per_cell": 0.00,
  "n_ef_per_ev_fu": 0.3,
  "e_tot_ev_per_cell": -67.6,
  "relative_energy_mev_per_atom": 340,
  "sg": "No. 87",
  "formation_energy_uncorrected_ev_per_atom": -0.966,
  "lattice_angstrom": [[9.3064, 0.0000, 0.0000], [0.0000, 9.3064, 0.0000], [0.0000, 0.0000, 3.6462]],
  "species": ["As", "As", "As", "As", "As", "As", "As", "As", "F", "F", "F", "F", "F", "F", "F", "F"],
  "frac_coords": [[0.0282, 0.6605, 0.0000], [0.1605, 0.4718, 0.5000], [0.3395, 0.0282, 0.0000], [0.4718, 0.8395, 0.5000], [0.5282, 0.1605, 0.5000], [0.6605, 0.9718, 0.0000], [0.8395, 0.5282, 0.5000], [0.9718, 0.3395, 0.0000], [0.1419, 0.8252, 0.0000], [0.1748, 0.1419, 0.0000], [0.3252, 0.3581, 0.5000], [0.3581, 0.6748, 0.5000], [0.6419, 0.3252, 0.5000], [0.6748, 0.6419, 0.5000], [0.8252, 0.8581, 0.0000], [0.8581, 0.1748, 0.0000]]
}